## CuNiI2O (GGA+U)

Data for a geometry-optimized CuNiI2O structure.

Its spin magnetization is 2.20 Bohr magnetons per cell. The calculation puts the total energy at -2.647 eV/atom.

Lattice parameters (Å, degrees): 5.6255 5.6255 3.5246 90.00 90.00 90.00
With the nearest neighbours (Å) after each atom.
Fractional coordinates of all 5 atoms:
I  0.0000  0.5000  0.0000  2 Ni 2.81
I  0.5000  0.0000  0.0000  2 Ni 2.81
Ni  0.0000  0.0000  0.0000  2 O 1.76
O  0.0000  0.0000  0.5000  2 Ni 1.76
Cu  0.5000  0.5000  0.5000  8 I 3.32, 2 Cu 3.52